Record 1
{"formula": "BeInSi", "functional": "PBE", "state": "relaxed", "magnetic_moment_mub_per_atom": 0.0000, "space_group": "F-43m, No. 216", "e_tot_ev_per_atom": -3.5739, "raw_formation_energy_ev_per_fu": 1.166, "cell": [[4.185, 0.000, 0.000], [2.093, 3.625, 0.000], [2.093, 1.208, 3.417]], "species": ["Be", "Si", "In"], "fractional_positions": [[0.750, 0.750, 0.750], [0.500, 0.500, 0.500], [0.000, 0.000, 0.000]]}

---

Record 2
{"formula": "PmTePdO6", "functional": "PBE", "state": "relaxed", "magnetic_moment_mub_per_atom": 0.1134, "space_group": "P-31c, No. 163", "e_tot_ev_per_atom": -6.2740, "raw_formation_energy_ev_per_fu": -13.632, "cell": [[-2.033, 4.909, 0.545], [-1.802, -3.224, -3.859], [-7.011, -3.600, 6.283]], "species": ["Pm", "Pm", "Te", "Te", "Pd", "Pd", "O", "O", "O", "O", "O", "O", "O", "O", "O", "O", "O", "O"], "fractional_positions": [[0.000, 0.000, 0.000], [0.000, 0.000, 0.500], [0.667, 0.333, 0.250], [0.333, 0.667, 0.750], [0.333, 0.667, 0.250], [0.667, 0.333, 0.750], [0.651, 0.628, 0.140], [0.977, 0.349, 0.140], [0.349, 0.977, 0.640], [0.023, 0.651, 0.860], [0.372, 0.349, 0.360], [0.977, 0.628, 0.360], [0.628, 0.977, 0.860], [0.651, 0.023, 0.360], [0.023, 0.372, 0.640], [0.372, 0.023, 0.140], [0.628, 0.651, 0.640], [0.349, 0.372, 0.860]]}

---

Record 3
{"formula": "K2Rb12Cd", "functional": "PBE", "state": "relaxed", "magnetic_moment_mub_per_atom": 0.0000, "ef_mev_per_atom": 63, "space_group": "P4/nbm, No. 125", "e_tot_ev_per_atom": -0.9182, "cell": [[-0.950, -7.805, -4.538], [8.869, -1.661, 1.001], [-6.009, -15.380, 27.713]], "species": ["K", "K", "K", "K", "Rb", "Rb", "Rb", "Rb", "Rb", "Rb", "Rb", "Rb", "Rb", "Rb", "Rb", "Rb", "Rb", "Rb", "Rb", "Rb", "Rb", "Rb", "Rb", "Rb", "Rb", "Rb", "Rb", "Rb", "Cd", "Cd"], "fractional_positions": [[0.500, 0.000, 0.248], [0.000, 0.500, 0.248], [0.000, 0.500, 0.752], [0.500, 0.000, 0.752], [0.500, 0.500, 0.816], [0.000, 0.000, 0.816], [0.750, 0.750, 0.930], [0.250, 0.750, 0.930], [0.000, 0.000, 0.321], [0.250, 0.750, 0.070], [0.821, 0.321, 0.568], [0.500, 0.500, 0.321], [0.250, 0.250, 0.930], [0.750, 0.750, 0.070], [0.321, 0.179, 0.568], [0.679, 0.179, 0.432], [0.000, 0.000, 0.679], [0.179, 0.321, 0.432], [0.250, 0.250, 0.070], [0.821, 0.679, 0.432], [0.679, 0.821, 0.568], [0.000, 0.000, 0.184], [0.179, 0.679, 0.568], [0.500, 0.500, 0.679], [0.750, 0.250, 0.930], [0.500, 0.500, 0.184], [0.321, 0.821, 0.432], [0.750, 0.250, 0.070], [0.500, 0.000, 0.000], [0.000, 0.500, 0.000]]}

---

Record 4
{"formula": "Pm6Bi3N", "functional": "PBE", "state": "relaxed", "magnetic_moment_mub_per_atom": 0.2352, "space_group": "Cmc2_1, No. 36", "e_tot_ev_per_atom": -5.5626, "raw_formation_energy_ev_per_fu": -7.154, "cell": [[7.299, 0.000, 0.000], [0.000, 9.669, 0.164], [0.000, -1.998, 9.462]], "species": ["Pm", "Pm", "Pm", "Pm", "Pm", "Pm", "Pm", "Pm", "Pm", "Pm", "Pm", "Pm", "Bi", "Bi", "Bi", "Bi", "Bi", "Bi", "N", "N"], "fractional_positions": [[0.196, 0.697, 0.631], [0.696, 0.631, 0.697], [0.167, 0.416, 0.893], [0.667, 0.893, 0.416], [0.138, 0.056, 0.944], [0.723, 0.228, 0.772], [0.223, 0.772, 0.228], [0.638, 0.944, 0.056], [0.167, 0.107, 0.584], [0.667, 0.584, 0.107], [0.196, 0.369, 0.303], [0.696, 0.303, 0.369], [0.484, 0.937, 0.731], [0.984, 0.731, 0.937], [0.398, 0.389, 0.611], [0.898, 0.611, 0.389], [0.984, 0.063, 0.269], [0.484, 0.269, 0.063], [0.033, 0.200, 0.800], [0.533, 0.800, 0.200]]}

---

Record 5
{"formula": "Sm2Tm9Th", "functional": "PBE", "state": "relaxed", "magnetic_moment_mub_per_atom": 0.0000, "ef_mev_per_atom": 29, "space_group": "P4/mmm, No. 123", "e_tot_ev_per_atom": -4.7300, "cell": [[-2.485, -1.413, 4.072], [-0.634, -4.530, -1.958], [12.809, -4.497, 6.255]], "species": ["Sm", "Sm", "Tm", "Tm", "Tm", "Tm", "Tm", "Tm", "Tm", "Tm", "Tm", "Th"], "fractional_positions": [[0.000, 0.000, 0.333], [0.000, 0.000, 0.667], [0.500, 0.500, 0.000], [0.500, 0.500, 0.334], [0.500, 0.500, 0.666], [0.500, 0.000, 0.165], [0.500, 0.000, 0.500], [0.500, 0.000, 0.835], [0.000, 0.500, 0.165], [0.000, 0.500, 0.500], [0.000, 0.500, 0.835], [0.000, 0.000, 0.000]]}

---

Record 6
{"formula": "CeEr4Si4", "functional": "PBE", "state": "relaxed", "magnetic_moment_mub_per_atom": 0.1489, "space_group": "P4_2/n, No. 86", "e_tot_ev_per_atom": -5.5385, "raw_formation_energy_ev_per_fu": -3.969, "cell": [[-3.807, 1.385, 3.959], [-1.718, -8.885, 1.456], [6.566, -0.222, 6.391]], "species": ["Ce", "Ce", "Er", "Er", "Er", "Er", "Er", "Er", "Er", "Er", "Si", "Si", "Si", "Si", "Si", "Si", "Si", "Si"], "fractional_positions": [[0.000, 0.000, 0.000], [0.500, 0.500, 0.500], [0.378, 0.349, 0.892], [0.878, 0.608, 0.849], [0.378, 0.651, 0.108], [0.122, 0.151, 0.608], [0.622, 0.892, 0.651], [0.122, 0.849, 0.392], [0.878, 0.392, 0.151], [0.622, 0.108, 0.349], [0.617, 0.793, 0.346], [0.617, 0.207, 0.654], [0.117, 0.846, 0.707], [0.883, 0.293, 0.846], [0.883, 0.707, 0.154], [0.383, 0.346, 0.207], [0.383, 0.654, 0.793], [0.117, 0.154, 0.293]]}

---

Record 7
{"formula": "Rb4NaGe3I12", "functional": "PBE", "state": "relaxed", "magnetic_moment_mub_per_atom": 0.0000, "space_group": "Im-3m, No. 229", "e_tot_ev_per_atom": -2.6993, "raw_formation_energy_ev_per_fu": -16.344, "cell": [[-0.345, -10.294, -0.865], [1.529, 4.192, -9.323], [7.753, 2.671, 6.292]], "species": ["Rb", "Rb", "Rb", "Rb", "Na", "Ge", "Ge", "Ge", "I", "I", "I", "I", "I", "I", "I", "I", "I", "I", "I", "I"], "fractional_positions": [[0.500, 0.500, 0.500], [0.000, 0.000, 0.500], [0.500, 0.000, 0.000], [0.000, 0.500, 0.000], [0.000, 0.000, 0.000], [0.500, 0.000, 0.500], [0.500, 0.500, 0.000], [0.000, 0.500, 0.500], [0.250, 0.500, 0.750], [0.742, 0.000, 0.742], [0.258, 0.000, 0.258], [0.750, 0.500, 0.250], [0.742, 0.742, 0.000], [0.258, 0.258, 0.000], [0.750, 0.250, 0.500], [0.250, 0.750, 0.500], [0.500, 0.250, 0.750], [0.000, 0.742, 0.742], [0.500, 0.750, 0.250], [0.000, 0.258, 0.258]]}

---

Record 8
{"formula": "NaSrTa2Os", "functional": "PBE", "state": "relaxed", "magnetic_moment_mub_per_atom": 0.0959, "ef_mev_per_atom": 936, "space_group": "P4/mmm, No. 123", "e_tot_ev_per_atom": -6.6513, "cell": [[4.906, 0.000, 0.000], [0.000, 5.953, 0.000], [0.000, 0.000, 4.906]], "species": ["Na", "Sr", "Os", "Ta", "Ta"], "fractional_positions": [[0.500, 0.500, 0.500], [0.000, 0.500, 0.000], [0.000, 0.000, 0.000], [0.000, 0.000, 0.500], [0.500, 0.000, 0.000]]}

---

Record 9
{"formula": "K5Cd2Hg5", "functional": "PBE", "state": "relaxed", "magnetic_moment_mub_per_atom": 0.0000, "ef_mev_per_atom": -181, "space_group": "C2/m, No. 12", "e_tot_ev_per_atom": -0.9166, "cell": [[-4.434, 1.926, -0.713], [-4.549, -6.228, -5.283], [-5.606, -3.666, 8.212]], "species": ["K", "K", "K", "K", "K", "Cd", "Cd", "Hg", "Hg", "Hg", "Hg", "Hg"], "fractional_positions": [[0.000, 0.500, 0.500], [0.690, 0.708, 0.912], [0.372, 0.932, 0.324], [0.628, 0.068, 0.676], [0.310, 0.292, 0.088], [0.389, 0.464, 0.758], [0.611, 0.536, 0.242], [0.707, 0.231, 0.356], [0.932, 0.296, 0.840], [0.068, 0.704, 0.160], [0.293, 0.769, 0.644], [0.000, 0.000, 0.000]]}

---

Record 10
{"formula": "MgZn2Sb", "functional": "PBE", "state": "relaxed", "magnetic_moment_mub_per_atom": 0.0000, "space_group": "Pmm2, No. 25", "e_tot_ev_per_atom": -2.0506, "raw_formation_energy_ev_per_fu": 0.063, "cell": [[3.218, 0.000, 0.000], [0.000, 4.048, 0.000], [0.000, 0.000, 6.214]], "species": ["Mg", "Sb", "Zn", "Zn"], "fractional_positions": [[0.000, 0.000, 0.482], [0.500, 0.500, 0.749], [0.000, 0.000, 0.045], [0.500, 0.500, 0.224]]}

---

Record 11
{"formula": "Na2Nd3Hg7", "functional": "PBE", "state": "relaxed", "magnetic_moment_mub_per_atom": 0.0000, "ef_mev_per_atom": -240, "space_group": "Cmmm, No. 65", "e_tot_ev_per_atom": -1.8277, "cell": [[-4.407, -1.593, -2.656], [2.988, -1.417, -4.108], [-0.338, -10.116, 6.628]], "species": ["Na", "Na", "Nd", "Nd", "Nd", "Hg", "Hg", "Hg", "Hg", "Hg", "Hg", "Hg"], "fractional_positions": [[0.000, 0.855, 0.710], [0.000, 0.145, 0.290], [0.500, 0.500, 0.000], [0.500, 0.663, 0.326], [0.500, 0.337, 0.674], [0.000, 0.421, 0.841], [0.000, 0.726, 0.453], [0.000, 0.000, 0.000], [0.000, 0.579, 0.159], [0.500, 0.082, 0.163], [0.500, 0.918, 0.837], [0.000, 0.274, 0.547]]}

---

Record 12
{"formula": "Pr12Cu6Sn", "functional": "PBE", "state": "relaxed", "magnetic_moment_mub_per_atom": 0.0000, "ef_mev_per_atom": -146, "space_group": "Im-3, No. 204", "e_tot_ev_per_atom": -4.6691, "cell": [[8.908, 0.000, 0.000], [-2.969, 8.398, 0.000], [-2.969, -4.199, 7.273]], "species": ["Pr", "Pr", "Pr", "Pr", "Pr", "Pr", "Pr", "Pr", "Pr", "Pr", "Pr", "Pr", "Cu", "Cu", "Cu", "Cu", "Cu", "Cu", "Sn"], "fractional_positions": [[0.299, 0.111, 0.813], [0.299, 0.486, 0.187], [0.701, 0.514, 0.813], [0.701, 0.889, 0.187], [0.111, 0.813, 0.299], [0.486, 0.187, 0.299], [0.514, 0.813, 0.701], [0.889, 0.187, 0.701], [0.813, 0.299, 0.111], [0.187, 0.299, 0.486], [0.813, 0.701, 0.514], [0.187, 0.701, 0.889], [0.379, 0.500, 0.879], [0.621, 0.500, 0.121], [0.500, 0.879, 0.379], [0.500, 0.121, 0.621], [0.879, 0.379, 0.500], [0.121, 0.621, 0.500], [0.000, 0.000, 0.000]]}

---

What did the fifth record say?
{"formula": "Sm2Tm9Th", "functional": "PBE", "state": "relaxed", "magnetic_moment_mub_per_atom": 0.0000, "ef_mev_per_atom": 29, "space_group": "P4/mmm, No. 123", "e_tot_ev_per_atom": -4.7300, "cell": [[-2.485, -1.413, 4.072], [-0.634, -4.530, -1.958], [12.809, -4.497, 6.255]], "species": ["Sm", "Sm", "Tm", "Tm", "Tm", "Tm", "Tm", "Tm", "Tm", "Tm", "Tm", "Th"], "fractional_positions": [[0.000, 0.000, 0.333], [0.000, 0.000, 0.667], [0.500, 0.500, 0.000], [0.500, 0.500, 0.334], [0.500, 0.500, 0.666], [0.500, 0.000, 0.165], [0.500, 0.000, 0.500], [0.500, 0.000, 0.835], [0.000, 0.500, 0.165], [0.000, 0.500, 0.500], [0.000, 0.500, 0.835], [0.000, 0.000, 0.000]]}